[1]
# CsLaCd2S (meta-GGA SCAN, PBEsol geometry)
# Formation energy without anion corrections in meV/atom: 259.5
# Total DFT energy (no corrections) in eV/f.u.: -150.1
# ρ in g cm⁻³: 5.45
data_CsLaCd2S
_symmetry_space_group_name_H-M 'P 4/m m m'
_symmetry_Int_Tables_number 123
_symmetry_space_group_name_Hall '-P 4 2'
_cell_length_a 5.168
_cell_length_b 5.168
_cell_length_c 6.030
_cell_angle_alpha 90.00
_cell_angle_beta 90.00
_cell_angle_gamma 90.00
loop_
_atom_site_label
_atom_site_fract_x
_atom_site_fract_y
_atom_site_fract_z
Cs1 0.000 0.000 0.000
La1 0.500 0.500 0.000
Cd1 0.000 0.500 0.500
S1 0.000 0.000 0.500

[2]
# IrOsRu2 (meta-GGA SCAN, PBEsol geometry)
# Total DFT energy (no corrections) in eV/f.u.: -212.5
# Energy relative to the lowest polymorph listed for this composition in eV per atom: 0.005
# ρ in g cm⁻³: 17.77
data_IrOsRu2
_symmetry_space_group_name_H-M 'I -4 m 2'
_symmetry_Int_Tables_number 119
_symmetry_space_group_name_Hall 'I -4 -2'
_cell_length_a 3.794
_cell_length_b 3.794
_cell_length_c 7.589
_cell_angle_alpha 90.00
_cell_angle_beta 90.00
_cell_angle_gamma 90.00
loop_
_atom_site_label
_atom_site_fract_x
_atom_site_fract_y
_atom_site_fract_z
Ir1 0.000 0.000 0.000
Os1 0.000 0.500 0.250
Ru1 0.000 0.000 0.500
Ru2 0.000 0.500 0.750

[3]
# TiInCuS2 (meta-GGA SCAN, PBEsol geometry)
# Formation energy without anion corrections in meV/atom: -236.2
# Total DFT energy (no corrections) in eV/f.u.: -85.1
# ρ in g cm⁻³: 4.61
data_TiInCuS2
_symmetry_space_group_name_H-M 'P 4/m m m'
_symmetry_Int_Tables_number 123
_symmetry_space_group_name_Hall '-P 4 2'
_cell_length_a 4.620
_cell_length_b 4.620
_cell_length_c 4.902
_cell_angle_alpha 90.00
_cell_angle_beta 90.00
_cell_angle_gamma 90.00
loop_
_atom_site_label
_atom_site_fract_x
_atom_site_fract_y
_atom_site_fract_z
Ti1 0.000 0.000 0.000
In1 0.500 0.500 0.500
Cu1 0.000 0.000 0.500
S1 0.000 0.500 0.000

[4]
# TePt2O (meta-GGA SCAN, PBEsol geometry)
# Formation energy without anion corrections in meV/atom: 278.4
# Total DFT energy (no corrections) in eV/f.u.: -182.8
# ρ in g cm⁻³: 14.74
data_TePt2O
_symmetry_space_group_name_H-M 'F m -3 m'
_symmetry_Int_Tables_number 225
_symmetry_space_group_name_Hall '-F 4 2 3'
_cell_length_a 6.219
_cell_length_b 6.219
_cell_length_c 6.219
_cell_angle_alpha 90.00
_cell_angle_beta 90.00
_cell_angle_gamma 90.00
loop_
_atom_site_label
_atom_site_fract_x
_atom_site_fract_y
_atom_site_fract_z
Te1 0.000 0.000 0.000
Pt1 0.250 0.250 0.250
O1 0.000 0.000 0.500

[5]
# K2SrZn (meta-GGA SCAN, PBEsol geometry)
# Total DFT energy (no corrections) in eV/f.u.: -51.5
# ρ in g cm⁻³: 2.28
data_K2SrZn
_symmetry_space_group_name_H-M 'F -4 3 m'
_symmetry_Int_Tables_number 216
_symmetry_space_group_name_Hall 'F -4 2 3'
_cell_length_a 8.769
_cell_length_b 8.769
_cell_length_c 8.769
_cell_angle_alpha 90.00
_cell_angle_beta 90.00
_cell_angle_gamma 90.00
loop_
_atom_site_label
_atom_site_fract_x
_atom_site_fract_y
_atom_site_fract_z
K1 0.000 0.000 0.000
K2 0.250 0.250 0.250
Sr1 0.250 0.250 0.750
Zn1 0.000 0.000 0.500

[6]
# MnAs2P (meta-GGA SCAN, PBEsol geometry)
# Total DFT energy (no corrections) in eV/f.u.: -68.5
# ρ in g cm⁻³: 6.47
data_MnAs2P
_symmetry_space_group_name_H-M 'R 3 m'
_symmetry_Int_Tables_number 160
_symmetry_space_group_name_Hall 'R 3 -2"'
_cell_length_a 2.8884
_cell_length_b 2.8884
_cell_length_c 25.1038
_cell_angle_alpha 90.00
_cell_angle_beta 90.00
_cell_angle_gamma 120.00
loop_
_atom_site_label
_atom_site_fract_x
_atom_site_fract_y
_atom_site_fract_z
Mn1 0.0000 0.0000 0.0000
As1 0.0000 0.0000 0.5183
As2 0.0000 0.0000 0.7371
P1 0.0000 0.0000 0.2731

[7]
# ZnCuAu2 (meta-GGA SCAN, PBEsol geometry)
# Total DFT energy (no corrections) in eV/f.u.: -167.7
# ρ in g cm⁻³: 14.68
data_ZnCuAu2
_symmetry_space_group_name_H-M 'I m m 2'
_symmetry_Int_Tables_number 44
_symmetry_space_group_name_Hall 'I 2 -2'
_cell_length_a 3.626
_cell_length_b 3.966
_cell_length_c 8.227
_cell_angle_alpha 90.00
_cell_angle_beta 90.00
_cell_angle_gamma 90.00
loop_
_atom_site_label
_atom_site_fract_x
_atom_site_fract_y
_atom_site_fract_z
Zn1 0.000 0.000 0.000
Cu1 0.000 0.500 0.265
Au1 0.000 0.000 0.511
Au2 0.000 0.500 0.751

[8]
# Y2Si2Ge (meta-GGA SCAN, PBEsol geometry)
# Formation energy without anion corrections in meV/atom: -546.6
# Total DFT energy (no corrections) in eV/f.u.: -97.5
# Energy relative to the lowest polymorph listed for this composition in eV per atom: 0.152
# ρ in g cm⁻³: 4.87
data_Y2Si2Ge
_symmetry_space_group_name_H-M 'I 4/m m m'
_symmetry_Int_Tables_number 139
_symmetry_space_group_name_Hall '-I 4 2'
_cell_length_a 3.541
_cell_length_b 3.541
_cell_length_c 16.662
_cell_angle_alpha 90.00
_cell_angle_beta 90.00
_cell_angle_gamma 90.00
loop_
_atom_site_label
_atom_site_fract_x
_atom_site_fract_y
_atom_site_fract_z
Y1 0.000 0.000 0.107
Si1 0.000 0.500 0.250
Ge1 0.000 0.000 0.500

[9]
# CaY3 (meta-GGA SCAN, PBEsol geometry)
# Total DFT energy (no corrections) in eV/f.u.: -93.0
# ρ in g cm⁻³: 3.88
data_CaY3
_symmetry_space_group_name_H-M 'P -6 m 2'
_symmetry_Int_Tables_number 187
_symmetry_space_group_name_Hall 'P -6 2'
_cell_length_a 3.6077
_cell_length_b 3.6077
_cell_length_c 11.6391
_cell_angle_alpha 90.00
_cell_angle_beta 90.00
_cell_angle_gamma 120.00
loop_
_atom_site_label
_atom_site_fract_x
_atom_site_fract_y
_atom_site_fract_z
Ca1 0.0000 0.0000 0.0000
Y1 0.0000 0.0000 0.5000
Y2 0.3333 0.6667 0.2635

[10]
# IrRh2 (meta-GGA SCAN, PBEsol geometry)
# Total DFT energy (no corrections) in eV/f.u.: -138.5
# Energy relative to the lowest polymorph listed for this composition in eV per atom: 0.078
# ρ in g cm⁻³: 16.07
data_IrRh2
_symmetry_space_group_name_H-M 'C m c m'
_symmetry_Int_Tables_number 63
_symmetry_space_group_name_Hall '-C 2c 2'
_cell_length_a 2.700
_cell_length_b 13.983
_cell_length_c 4.356
_cell_angle_alpha 90.00
_cell_angle_beta 90.00
_cell_angle_gamma 90.00
loop_
_atom_site_label
_atom_site_fract_x
_atom_site_fract_y
_atom_site_fract_z
Ir1 0.000 0.222 0.250
Rh1 0.000 0.111 0.750
Rh2 0.000 0.445 0.750

[11]
# ZnSi2IrO (meta-GGA SCAN, PBEsol geometry)
# Formation energy without anion corrections in meV/atom: 881.1
# Total DFT energy (no corrections) in eV/f.u.: -106.5
# ρ in g cm⁻³: 7.27
data_ZnSi2IrO
_symmetry_space_group_name_H-M 'P 4/m m m'
_symmetry_Int_Tables_number 123
_symmetry_space_group_name_Hall '-P 4 2'
_cell_length_a 4.731
_cell_length_b 4.731
_cell_length_c 3.365
_cell_angle_alpha 90.00
_cell_angle_beta 90.00
_cell_angle_gamma 90.00
loop_
_atom_site_label
_atom_site_fract_x
_atom_site_fract_y
_atom_site_fract_z
Zn1 0.000 0.000 0.000
Si1 0.000 0.500 0.000
Ir1 0.500 0.500 0.500
O1 0.000 0.000 0.500

[12]
# CoTc2AsO (meta-GGA SCAN, PBEsol geometry)
# Formation energy without anion corrections in meV/atom: 1499.6
# Total DFT energy (no corrections) in eV/f.u.: -106.3
# Energy relative to the lowest polymorph listed for this composition in eV per atom: 1.351
# ρ in g cm⁻³: 6.98
data_CoTc2AsO
_symmetry_space_group_name_H-M 'P 4/m m m'
_symmetry_Int_Tables_number 123
_symmetry_space_group_name_Hall '-P 4 2'
_cell_length_a 4.464
_cell_length_b 4.464
_cell_length_c 4.131
_cell_angle_alpha 90.00
_cell_angle_beta 90.00
_cell_angle_gamma 90.00
loop_
_atom_site_label
_atom_site_fract_x
_atom_site_fract_y
_atom_site_fract_z
Co1 0.000 0.000 0.000
Tc1 0.000 0.500 0.000
As1 0.000 0.000 0.500
O1 0.500 0.500 0.500

| no. | volume (Å³ per atom) |
| --- | --- |
| 1 | 32.20 |
| 2 | 13.66 |
| 3 | 20.93 |
| 4 | 15.03 |
| 5 | 42.14 |
| 6 | 15.12 |
| 7 | 14.79 |
| 8 | 20.89 |
| 9 | 32.80 |
| 10 | 13.71 |
| 11 | 15.06 |
| 12 | 16.46 |